The following is a DFT calculation (PBE with a Hubbard U) of a relaxed BPdWF2 crystal.

Cell and atoms, written as POSCAR:
```
BPdWF2
1.0
3.838 0.000 0.000
0.000 4.595 0.000
0.000 0.000 3.838
W F Pd B
1 2 1 1
Cartesian
1.919 2.298 1.919 W
1.919 0.000 0.000 F
0.000 0.000 1.919 F
0.000 2.298 0.000 Pd
0.000 0.000 0.000 B
```

Output
Space-group type: P4/mmm
Final energy: -21.7 eV per cell
N(E_F): 0.454 states/eV per atom
Magnetic moment: 2.83 μB per formula unit